## Re2TeCl (PBE-GGA)

Data for Re2TeCl after structural relaxation.

Calculated values
Its energy above the most stable polymorph in this dataset is 0.906 eV/atom.

```
12
Lattice="3.101 0.000 0.000 -1.550 2.685 0.000 0.000 0.000 24.677" Properties=species:S:1:pos:R:3 pbc="T T T"
Re 0.000 0.000 6.126
Re 0.000 0.000 18.551
Re 0.000 1.790 10.325
Re 0.000 1.790 22.577
Re 1.550 0.895 2.099
Re 1.550 0.895 14.352
Te 0.000 0.000 12.338
Te 0.000 1.790 4.113
Te 1.550 0.895 20.564
Cl 0.000 0.000 0.000
Cl 0.000 1.790 16.451
Cl 1.550 0.895 8.226
```

## ReTe3Cl (PBE-GGA)

Data for ReTe3Cl after structural relaxation.

Calculated values
Its energy above the most stable polymorph in this dataset is 0.000 eV/atom.

```
5
Lattice="5.247 0.000 0.000 0.000 5.247 0.000 0.000 0.000 5.247" Properties=species:S:1:pos:R:3 pbc="T T T"
Re 0.000 0.000 0.000
Te 0.000 0.000 2.624
Te 0.000 2.624 0.000
Te 2.624 0.000 0.000
Cl 2.624 2.624 2.624
```

## ReTe3Cl (PBE-GGA)

Data for ReTe3Cl after structural relaxation.

Calculated values
Its energy above the most stable polymorph in this dataset is 1.393 eV/atom.

```
5
Lattice="5.124 0.000 0.000 0.000 5.124 0.000 0.000 0.000 5.124" Properties=species:S:1:pos:R:3 pbc="T T T"
Re 0.000 0.000 0.000
Te 0.000 2.562 2.562
Te 2.562 0.000 2.562
Te 2.562 2.562 0.000
Cl 2.562 2.562 2.562
```

## Re2TeCl (PBE-GGA)

Data for Re2TeCl after structural relaxation.

Calculated values
Its energy above the most stable polymorph in this dataset is 1.248 eV/atom.

```
4
Lattice="2.980 0.000 0.000 0.000 4.437 0.000 0.000 0.000 5.377" Properties=species:S:1:pos:R:3 pbc="T T T"
Re 0.000 0.000 0.000
Re 1.490 0.000 2.689
Te 0.000 2.219 2.689
Cl 1.490 2.219 0.000
```

ΔE_f (raw): 0.97; 0.50; 1.89; 1.32 (eV per atom)